Entry 1:
The following is a DFT calculation (PBE-GGA) of an optimized crystal structure of Sc3TiTl3Se8.

Output
* crystal system: trigonal
* formation energy without anion corrections: -1.221 eV per atom
* calculated volume: 407.7 Å³/f.u.
* DFT total energy: -5.345 eV/atom

a = 7.7500 Å, b = 7.7501 Å, c = 9.0264 Å
α = 115.43°, β = 90.00°, γ = 120.00°
Atoms (fractional coordinates):
Sc 0.5000 0.0000 0.5000
Sc 0.5000 0.5000 0.5000
Sc 0.0000 0.5000 0.5000
Ti 0.0000 0.0000 0.5000
Tl 0.0000 0.0000 0.0000
Tl 0.0000 0.5000 0.0000
Tl 0.5000 0.5000 0.0000
Se 0.2682 0.5364 0.3048
Se 0.7318 0.4636 0.6952
Se 0.7761 0.5523 0.3094
Se 0.2239 0.4477 0.6906
Se 0.7762 0.0331 0.3094
Se 0.2238 0.9669 0.6906
Se 0.2569 0.0331 0.3094
Se 0.7431 0.9669 0.6906


Entry 2:
The following is a DFT calculation (PBE-GGA) of an optimized crystal structure of V2ReBr.

Output
* crystal system: cubic
* formation energy without anion corrections: 0.806 eV per atom
* calculated volume: 60.7 Å³/f.u.
* energy above the lowest structure with this stoichiometry: 0 meV/atom
* DFT total energy: -7.283 eV/atom

a = 4.4105 Å, b = 4.4105 Å, c = 4.4105 Å
α = 60.00°, β = 60.00°, γ = 60.00°
Atoms (fractional coordinates):
Re 0.5000 0.5000 0.5000
Br 0.0000 0.0000 0.0000
V 0.2500 0.2500 0.2500
V 0.7500 0.7500 0.7500


Entry 3:
The following is a DFT calculation (PBE-GGA) of an optimized crystal structure of TmBiB.

Output
* crystal system: orthorhombic
* calculated volume: 70.6 Å³/f.u.
* formation energy from the elements: 0.2689 eV/atom
* DFT total energy: -4.741 eV/atom

a = 3.3861 Å, b = 3.9481 Å, c = 10.7006 Å
α = 90.00°, β = 99.10°, γ = 90.00°
Atoms (fractional coordinates):
B 0.4163 0.7500 0.8326
B 0.5837 0.2500 0.1674
Bi 0.8260 0.7500 0.6520
Bi 0.1740 0.2500 0.3480
Tm 0.9391 0.2500 0.8783
Tm 0.0609 0.7500 0.1217


Entry 4:
The following is a DFT calculation (PBE-GGA) of an optimized crystal structure of MgZnCo.

Output
* crystal system: orthorhombic
* calculated volume: 44.0 Å³/f.u.
* formation energy from the elements: -0.1049 eV/atom
* DFT total energy: -3.430 eV/atom

a = 4.9952 Å, b = 4.9952 Å, c = 4.9952 Å
α = 120.48°, β = 119.62°, γ = 89.91°
Atoms (fractional coordinates):
Mg 0.3669 0.1169 0.2500
Mg 0.6331 0.8831 0.7500
Zn 0.5000 0.5000 0.0000
Zn 0.0000 0.5000 0.5000
Co 0.0000 0.5000 0.0000
Co 0.0000 0.0000 0.5000


Entry 5:
The following is a DFT calculation (PBE-GGA) of an optimized crystal structure of Zn2InGa.

Output
* crystal system: trigonal
* calculated volume: 84.1 Å³/f.u.
* formation energy from the elements: 0.1532 eV/atom
* energy above the lowest structure with this stoichiometry: 87 meV/atom
* DFT total energy: -1.925 eV/atom

a = 3.8218 Å, b = 3.8218 Å, c = 7.0036 Å
α = 74.17°, β = 74.17°, γ = 60.00°
Atoms (fractional coordinates):
Zn 0.2616 0.2616 0.2151
Zn 0.7384 0.7384 0.7849
Ga 0.0000 0.0000 0.0000
In 0.5000 0.5000 0.5000


Entry 6:
The following is a DFT calculation (PBE-GGA) of an optimized crystal structure of Li2B3C3.

Output
* crystal system: orthorhombic
* calculated volume: 69.6 Å³/f.u.
* formation energy from the elements: -0.1682 eV/atom
* energy above the lowest structure with this stoichiometry: 9 meV/atom
* DFT total energy: -6.610 eV/atom

a = 7.1829 Å, b = 7.1829 Å, c = 7.2660 Å
α = 90.00°, β = 90.00°, γ = 158.19°
Atoms (fractional coordinates):
C 0.8909 0.1091 0.2500
C 0.4429 0.5571 0.7500
C 0.5563 0.4437 0.2500
C 0.1103 0.8897 0.7500
C 0.2238 0.7762 0.2500
C 0.7758 0.2242 0.7500
B 0.8850 0.1150 0.7500
B 0.4448 0.5552 0.2500
B 0.5534 0.4466 0.7500
B 0.1133 0.8867 0.2500
B 0.2219 0.7781 0.7500
B 0.7817 0.2183 0.2500
Li 0.9898 0.0102 0.9984
Li 0.9898 0.0102 0.5016
Li 0.6768 0.3232 0.0016
Li 0.6768 0.3232 0.4984